Record 1
DFT (PBE) results for an optimized crystal structure of BH.

Calculated values
energy	-4.70	eV per atom

```
data_BH
_cell_length_a 6.2838
_cell_length_b 6.2838
_cell_length_c 3.1035
_cell_angle_alpha 90.00
_cell_angle_beta 90.00
_cell_angle_gamma 90.00
_space_group_name_H-M_alt 'I 4/m m m'
_space_group_IT_number 139
_space_group_name_Hall '-I 4 2'
loop_
_atom_site_label
_atom_site_type_symbol
_atom_site_fract_x
_atom_site_fract_y
_atom_site_fract_z
_atom_site_occupancy
B1 B 0.2117 0.2117 0.0000 1
H1 H 0.0000 0.2321 0.0000 1
```


Record 2
DFT (PBE) results for an optimized crystal structure of B10H13.

Calculated values
energy	-4.90	eV per atom

```
data_B10H13
_cell_length_a 7.2985
_cell_length_b 15.5416
_cell_length_c 16.5280
_cell_angle_alpha 90.00
_cell_angle_beta 114.91
_cell_angle_gamma 90.00
_space_group_name_H-M_alt 'P 1 21/c 1'
_space_group_IT_number 14
loop_
_space_group_symop_operation_xyz
'x,y,z'
'-x,-y,-z'
'-x,y+1/2,-z+1/2'
'x,-y+1/2,z+1/2'
loop_
_atom_site_label
_atom_site_type_symbol
_atom_site_fract_x
_atom_site_fract_y
_atom_site_fract_z
_atom_site_occupancy
B1 B 0.0167 0.1496 0.4545 1
B2 B 0.0686 0.7045 0.4296 1
B3 B 0.0875 0.6843 0.9587 1
B4 B 0.1178 0.2335 0.4120 1
B5 B 0.1216 0.2273 0.6355 1
B6 B 0.1553 0.1437 0.5702 1
B7 B 0.1740 0.5225 0.6441 1
B8 B 0.1847 0.0440 0.2330 1
B9 B 0.1875 0.1736 0.0983 1
B10 B 0.2431 0.5683 0.7496 1
B11 B 0.2794 0.1759 0.5030 1
B12 B 0.2863 0.0819 0.1581 1
B13 B 0.2869 0.2095 0.0073 1
B14 B 0.3250 0.2322 0.6034 1
B15 B 0.3647 0.5993 0.6681 1
B16 B 0.3690 0.5035 0.6090 1
B17 B 0.3735 0.0100 0.3323 1
B18 B 0.4064 0.0468 0.8159 1
B19 B 0.4256 0.0958 0.2738 1
B20 B 0.4533 0.5644 0.3074 1
H1 H 0.0111 0.5436 0.5893 1
H2 H 0.0133 0.1494 0.0325 1
H3 H 0.0354 0.0757 0.2323 1
H4 H 0.0587 0.5884 0.0909 1
H5 H 0.0707 0.7166 0.0966 1
H6 H 0.1067 0.2393 0.3382 1
H7 H 0.1143 0.1859 0.9409 1
H8 H 0.1461 0.6224 0.7647 1
H9 H 0.1520 0.2140 0.7112 1
H10 H 0.1745 0.7468 0.5064 1
H11 H 0.1820 0.0719 0.5995 1
H12 H 0.1891 0.6646 0.4141 1
H13 H 0.2233 0.6428 0.9572 1
H14 H 0.2684 0.0769 0.8265 1
H15 H 0.3277 0.5095 0.2484 1
H16 H 0.3337 0.5017 0.5317 1
H17 H 0.3344 0.6707 0.6385 1
H18 H 0.3440 0.6161 0.3174 1
H19 H 0.3855 0.0121 0.4063 1
H20 H 0.4083 0.1321 0.4981 1
H21 H 0.4106 0.1638 0.0006 1
H22 H 0.4209 0.5708 0.8190 1
H23 H 0.4533 0.1036 0.7657 1
H24 H 0.4527 0.5423 0.1642 1
H25 H 0.4672 0.1649 0.3081 1
H26 H 0.4943 0.2330 0.6602 1
```


Record 3
DFT (PBE) results for an optimized crystal structure of BH.

Calculated values
energy	-4.89	eV per atom

```
data_BH
_cell_length_a 3.6609
_cell_length_b 2.8689
_cell_length_c 6.1684
_cell_angle_alpha 90.00
_cell_angle_beta 92.76
_cell_angle_gamma 90.00
_space_group_name_H-M_alt 'P 1 21/m 1'
_space_group_IT_number 11
loop_
_space_group_symop_operation_xyz
'x,y,z'
'-x,-y,-z'
'-x,y+1/2,-z'
'x,-y+1/2,z'
loop_
_atom_site_label
_atom_site_type_symbol
_atom_site_fract_x
_atom_site_fract_y
_atom_site_fract_z
_atom_site_occupancy
B1 B 0.1254 0.2500 0.0137 1
B2 B 0.2411 0.7500 0.1766 1
H1 H 0.2222 0.7500 0.3690 1
H2 H 0.4021 0.2500 0.8630 1
```


Record 4
DFT (PBE) results for an optimized crystal structure of B10H13.

Calculated values
energy	-4.90	eV per atom

```
data_B10H13
_cell_length_a 10.6914
_cell_length_b 14.7477
_cell_length_c 10.8161
_cell_angle_alpha 90.00
_cell_angle_beta 90.00
_cell_angle_gamma 90.00
_space_group_name_H-M_alt 'P b c a'
_space_group_IT_number 61
loop_
_space_group_symop_operation_xyz
'x,y,z'
'-x,-y,-z'
'-x+1/2,-y,z+1/2'
'x+1/2,y,-z+1/2'
'x+1/2,-y+1/2,-z'
'-x+1/2,y+1/2,z'
'-x,y+1/2,-z+1/2'
'x,-y+1/2,z+1/2'
loop_
_atom_site_label
_atom_site_type_symbol
_atom_site_fract_x
_atom_site_fract_y
_atom_site_fract_z
_atom_site_occupancy
B1 B 0.0013 0.1168 0.1464 1
B2 B 0.0517 0.5376 0.4673 1
B3 B 0.0670 0.6570 0.4925 1
B4 B 0.0875 0.5195 0.3103 1
B5 B 0.1029 0.6253 0.2329 1
B6 B 0.1083 0.7083 0.3523 1
B7 B 0.1772 0.5814 0.5586 1
B8 B 0.1846 0.0832 0.4771 1
B9 B 0.2047 0.0037 0.9442 1
B10 B 0.2263 0.6847 0.4874 1
H1 H 0.0057 0.7032 0.5600 1
H2 H 0.0515 0.0447 0.7536 1
H3 H 0.0799 0.0727 0.5114 1
H4 H 0.0861 0.6392 0.1259 1
H5 H 0.0866 0.7143 0.8285 1
H6 H 0.1109 0.1259 0.1650 1
H7 H 0.1783 0.5531 0.2398 1
H8 H 0.1787 0.5689 0.6675 1
H9 H 0.1854 0.1592 0.4086 1
H10 H 0.1925 0.6835 0.2689 1
H11 H 0.2003 0.0295 0.3785 1
H12 H 0.2301 0.2491 0.5380 1
H13 H 0.2336 0.0808 0.9610 1
```


Record 5
DFT (PBE) results for an optimized crystal structure of B2H5.

Calculated values
energy	-3.55	eV per atom

```
data_B2H5
_cell_length_a 3.3819
_cell_length_b 3.3819
_cell_length_c 9.3017
_cell_angle_alpha 90.00
_cell_angle_beta 90.00
_cell_angle_gamma 120.00
_space_group_name_H-M_alt 'R -3 m'
_space_group_IT_number 166
_space_group_name_Hall '-R 3 2"'
loop_
_atom_site_label
_atom_site_type_symbol
_atom_site_fract_x
_atom_site_fract_y
_atom_site_fract_z
_atom_site_occupancy
B1 B 0.0000 0.0000 0.1565 1
H1 H 0.0000 0.0000 0.0000 1
H2 H 0.0000 0.0000 0.3127 1
H3 H 0.0000 0.0000 0.4027 1
```